(1)
Na2Zn3Se4O12: optimized geometry, GGA-PBE.

**Raw total energy**: -4.99 eV/atom
**V**: 1155.24 Å³ per cell

Cell: 11.908 6.684 14.515 Å, 90.00 90.43 90.00°
Space group C2/c (No. 15)
Inequivalent atoms, fractional coordinates:
Na: 0.126 0.137 0.463 [8 per cell]
Zn: 0.000 0.219 0.250 [4 per cell]
Zn: 0.005 0.314 0.867 [8 per cell]
Se: 0.144 0.327 0.068 [8 per cell]
Se: 0.190 0.105 0.732 [8 per cell]
O: 0.027 0.393 0.139 [8 per cell]
O: 0.072 0.203 0.981 [8 per cell]
O: 0.103 0.082 0.636 [8 per cell]
O: 0.130 0.318 0.778 [8 per cell]
O: 0.135 0.086 0.299 [8 per cell]
O: 0.176 0.448 0.525 [8 per cell]

(2)
NaSmSiO4: optimized geometry, GGA-PBE.

**Raw total energy**: -7.36 eV/atom
**V**: 740.63 Å³ per cell
**Spin magnetization**: 0.0 Bohr magnetons per cell

Cell: 11.757 11.757 5.358 Å, 90.00 90.00 90.00°
Space group I4/m (No. 87)
Inequivalent atoms, fractional coordinates:
Na: 0.087 0.395 0.000 [8 per cell]
Sm: 0.122 0.809 0.000 [8 per cell]
Si: 0.097 0.238 0.500 [8 per cell]
O: 0.039 0.193 0.243 [16 per cell]
O: 0.102 0.379 0.500 [8 per cell]
O: 0.193 0.769 0.500 [8 per cell]

(3)
NaTaSiO5: optimized geometry, GGA-PBE.

**Raw total energy**: -8.14 eV/atom
**V**: 389.00 Å³ per cell
**Spin magnetization**: 0.0 Bohr magnetons per cell

Cell: 6.712 8.712 7.337 Å, 90.00 114.96 90.00°
Space group C2/c (No. 15)
Inequivalent atoms, fractional coordinates:
Na: 0.000 0.168 0.250 [4 per cell]
Ta: 0.000 0.500 0.000 [4 per cell]
Si: 0.000 0.181 0.750 [4 per cell]
O: 0.000 0.426 0.250 [4 per cell]
O: 0.097 0.290 0.623 [8 per cell]
O: 0.188 0.066 0.905 [8 per cell]

(4)
NaTbSi2O6: optimized geometry, GGA-PBE.

**Raw total energy**: -7.56 eV/atom
**V**: 527.60 Å³ per cell
**Spin magnetization**: 0.0 Bohr magnetons per cell

Cell: 5.405 13.709 7.573 Å, 90.00 109.90 90.00°
Space group P2_1/c (No. 14)
Inequivalent atoms, fractional coordinates:
Na: 0.140 0.235 0.045 [4 per cell]
Tb: 0.023 0.507 0.752 [4 per cell]
Si: 0.421 0.639 0.071 [4 per cell]
Si: 0.433 0.640 0.643 [4 per cell]
O: 0.204 0.561 0.084 [4 per cell]
O: 0.219 0.563 0.517 [4 per cell]
O: 0.260 0.137 0.831 [4 per cell]
O: 0.279 0.128 0.297 [4 per cell]
O: 0.309 0.750 0.078 [4 per cell]
O: 0.392 0.621 0.848 [4 per cell]

(5)
NaTbSi2O6: optimized geometry, GGA-PBE.

**Raw total energy**: -7.56 eV/atom
**V**: 418.36 Å³ per cell
**Spin magnetization**: 0.0 Bohr magnetons per cell

Cell: 5.454 9.316 9.655 Å, 117.20 97.31 99.66°
Space group P-1 (No. 2)
Inequivalent atoms, fractional coordinates:
Na: 0.000 0.000 0.000 [1 per cell]
Na: 0.158 0.604 0.935 [2 per cell]
Tb: 0.000 0.500 0.500 [1 per cell]
Tb: 0.325 0.776 0.365 [2 per cell]
Si: 0.103 0.117 0.368 [2 per cell]
Si: 0.230 0.239 0.876 [2 per cell]
Si: 0.399 0.358 0.252 [2 per cell]
O: 0.019 0.322 0.833 [2 per cell]
O: 0.033 0.753 0.512 [2 per cell]
O: 0.115 0.033 0.788 [2 per cell]
O: 0.238 0.284 0.065 [2 per cell]
O: 0.272 0.207 0.287 [2 per cell]
O: 0.292 0.046 0.452 [2 per cell]
O: 0.299 0.619 0.732 [2 per cell]
O: 0.311 0.525 0.363 [2 per cell]
O: 0.494 0.713 0.154 [2 per cell]

(6)
Na2ZnSi2O6: optimized geometry, GGA-PBE.

**Raw total energy**: -6.36 eV/atom
**V**: 571.14 Å³ per cell
**Relative energy among the computed polymorphs**: 0.009 eV per atom

Cell: 6.130 9.447 9.869 Å, 90.00 92.20 90.00°
Space group C2/c (No. 15)
Inequivalent atoms, fractional coordinates:
Na: 0.065 0.181 0.106 [8 per cell]
Zn: 0.000 0.224 0.750 [4 per cell]
Si: 0.155 0.489 0.138 [8 per cell]
O: 0.000 0.409 0.250 [4 per cell]
O: 0.000 0.500 0.000 [4 per cell]
O: 0.146 0.117 0.895 [8 per cell]
O: 0.231 0.356 0.691 [8 per cell]